A plane-wave DFT calculation with PBE was carried out for a relaxed structure of Na4Zr3CuTe8.

a = 8.988 Å, b = 8.988 Å, c = 8.988 Å
α = 55.32°, β = 55.32°, γ = 55.32°
Positions (direct):
Na (0.000, 0.000, 0.000)
Na (0.000, 0.500, 0.500)
Na (0.500, 0.000, 0.500)
Na (0.500, 0.500, 0.000)
Zr (0.000, 0.000, 0.500)
Zr (0.000, 0.500, 0.000)
Zr (0.500, 0.000, 0.000)
Cu (0.500, 0.500, 0.500)
Te (0.242, 0.242, 0.242)
Te (0.245, 0.735, 0.735)
Te (0.265, 0.265, 0.755)
Te (0.265, 0.755, 0.265)
Te (0.735, 0.245, 0.735)
Te (0.735, 0.735, 0.245)
Te (0.755, 0.265, 0.265)
Te (0.758, 0.758, 0.758)

Summary:
Space group = R-3m, No. 166
Raw formation energy = -0.783 eV/atom
D(E_F) = 5.88 states/eV/f.u.
Total DFT energy (no corrections) = -72.68 eV for the cell shown